[1]
Entry from Alexandria: a relaxed structure of SrAc2Ag2 (PBE).

abc: 4.3393 8.9411 8.9411
angles: 90.00 90.00 90.00
Element x y z (fractional)
Sr 0.0000 0.0000 0.0000
Sr 0.0000 0.5000 0.5000
Ac 0.5000 0.1614 0.6614
Ac 0.5000 0.6614 0.8386
Ac 0.5000 0.8386 0.3386
Ac 0.5000 0.3386 0.1614
Ag 0.0000 0.3731 0.8731
Ag 0.0000 0.8731 0.6269
Ag 0.0000 0.6269 0.1269
Ag 0.0000 0.1269 0.3731

Results
- polymorph energy (0 for the lowest one) (kJ/mol of formula units) = 0
- energy relative to the elements (meV/atom) = -193.4
- crystal system = tetragonal


[2]
Entry from Alexandria: a relaxed structure of Ba6Na2RhS (PBE).

abc: 8.9095 8.9095 8.9073
angles: 120.00 120.00 90.02
Element x y z (fractional)
Ba 0.7454 0.7461 0.9995
Ba 0.7456 0.7461 0.4909
Ba 0.2543 0.2546 0.9999
Ba 0.7456 0.2547 0.9996
Ba 0.2539 0.2545 0.5082
Ba 0.2541 0.7459 0.9997
Na 0.7503 0.2509 0.5007
Na 0.2503 0.7509 0.5007
Rh 0.4997 0.5001 0.9993
S 0.9998 0.0003 0.9995

Results
- energy relative to the elements, uncorrected (meV/atom) = -433
- crystal system = tetragonal


[3]
Entry from Alexandria: a relaxed structure of P2PbCl (PBE).

abc: 3.3579 3.3579 8.2095
angles: 90.00 90.00 90.00
Element x y z (fractional)
Cl 0.5000 0.5000 0.7069
P 0.0000 0.0000 0.1140
P 0.5000 0.5000 0.1945
Pb 0.0000 0.0000 0.4846

Results
- polymorph energy (0 for the lowest one) (kJ/mol of formula units) = 75
- energy relative to the elements, uncorrected (meV/atom) = -37
- crystal system = tetragonal


[4]
Entry from Alexandria: a relaxed structure of InW2Se (PBE).

abc: 4.2925 3.2203 5.4320
angles: 86.55 90.00 90.00
Element x y z (fractional)
In 0.5000 0.2500 0.2500
Se 0.5000 0.7500 0.7500
W 0.0000 0.8039 0.0141
W 0.0000 0.6961 0.4859

Results
- polymorph energy (0 for the lowest one) (kJ/mol of formula units) = 190
- energy relative to the elements, uncorrected (meV/atom) = 794
- crystal system = monoclinic


[5]
Entry from Alexandria: a relaxed structure of Ca2AlCd (PBE).

abc: 5.2971 5.2971 6.8075
angles: 80.76 80.76 39.02
Element x y z (fractional)
Ca 0.9970 0.9970 0.0116
Ca 0.5030 0.5030 0.4884
Al 0.2500 0.2500 0.2500
Cd 0.7500 0.7500 0.7500

Results
- energy relative to the elements (meV/atom) = -51.4
- crystal system = monoclinic


[6]
Entry from Alexandria: a relaxed structure of Li12GaAg6 (PBE).

abc: 6.9381 6.9381 6.9381
angles: 90.18 90.18 90.18
Element x y z (fractional)
Li 0.8076 0.5278 0.4267
Li 0.4267 0.8076 0.5278
Li 0.5278 0.4267 0.8076
Li 0.1924 0.4722 0.5733
Li 0.5733 0.1924 0.4722
Li 0.4722 0.5733 0.1924
Li 0.0363 0.1460 0.3741
Li 0.8540 0.6259 0.9637
Li 0.6259 0.9637 0.8540
Li 0.9637 0.8540 0.6259
Li 0.1460 0.3741 0.0363
Li 0.3741 0.0363 0.1460
Ga 0.0000 0.0000 0.0000
Ag 0.7264 0.8823 0.2687
Ag 0.7313 0.2736 0.1177
Ag 0.1177 0.7313 0.2736
Ag 0.2736 0.1177 0.7313
Ag 0.2687 0.7264 0.8823
Ag 0.8823 0.2687 0.7264

Results
- energy relative to the elements (meV/atom) = -159.3
- crystal system = trigonal


[7]
Entry from Alexandria: a relaxed structure of Dy4Ga3Pd (PBE).

abc: 3.8711 4.3551 11.1337
angles: 90.00 90.00 90.00
Element x y z (fractional)
Dy 0.5000 0.5000 0.3484
Dy 0.0000 0.5000 0.8651
Dy 0.0000 0.0000 0.1408
Dy 0.5000 0.0000 0.6485
Ga 0.0000 0.5000 0.5743
Ga 0.0000 0.0000 0.4250
Ga 0.5000 0.0000 0.9208
Pd 0.5000 0.5000 0.0770

Results
- energy relative to the elements (meV/atom) = -670.2
- crystal system = orthorhombic


[8]
Entry from Alexandria: a relaxed structure of YBeNi (PBE).

abc: 5.2991 5.2862 5.2862
angles: 145.48 145.52 49.56
Element x y z (fractional)
Y 0.6669 0.6676 0.9993
Ni 0.3758 0.3756 0.0002
Be 0.9573 0.9568 0.0005

Results
- polymorph energy (0 for the lowest one) (kJ/mol of formula units) = 49
- energy relative to the elements (meV/atom) = -106.9
- crystal system = monoclinic


[9]
Entry from Alexandria: a relaxed structure of Pm3InRh8 (PBE).

abc: 5.3537 5.3537 9.3335
angles: 73.33 73.33 60.00
Element x y z (fractional)
Pm 0.3756 0.3756 0.8732
Pm 0.9960 0.9960 0.0119
Pm 0.5034 0.5034 0.4898
In 0.8736 0.8736 0.3791
Rh 0.9370 0.4368 0.1894
Rh 0.4396 0.9377 0.6850
Rh 0.4368 0.4368 0.1894
Rh 0.9377 0.9377 0.6850
Rh 0.1880 0.1880 0.4360
Rh 0.6878 0.6878 0.9367
Rh 0.4368 0.9370 0.1894
Rh 0.9377 0.4396 0.6850

Results
- energy relative to the elements (meV/atom) = -564.2
- crystal system = trigonal


[10]
Entry from Alexandria: a relaxed structure of RbPaF2 (PBE).

abc: 3.4176 3.4176 8.9712
angles: 79.02 79.02 60.00
Element x y z (fractional)
Pa 0.5000 0.5000 0.5000
Rb 0.0000 0.0000 0.0000
F 0.1018 0.1018 0.6947
F 0.8982 0.8982 0.3053

Results
- energy relative to the elements, uncorrected (meV/atom) = -1841
- crystal system = trigonal


[11]
Entry from Alexandria: a relaxed structure of Cd2AgHg (PBE).

abc: 5.2826 5.2826 5.2826
angles: 129.81 129.81 73.71
Element x y z (fractional)
Hg 0.2500 0.7500 0.5000
Ag 0.7500 0.2500 0.5000
Cd 0.0000 0.0000 0.0000
Cd 0.5000 0.5000 0.0000

Results
- energy relative to the elements (meV/atom) = 22.5
- crystal system = tetragonal


[12]
Entry from Alexandria: a relaxed structure of Y2AlSn3 (PBE).

abc: 5.9794 7.8571 7.8571
angles: 116.09 90.00 90.00
Element x y z (fractional)
Y 0.7500 0.4555 0.1856
Y 0.2500 0.5445 0.8144
Y 0.2500 0.8144 0.5445
Y 0.7500 0.1856 0.4555
Al 0.7500 0.9749 0.9749
Al 0.2500 0.0251 0.0251
Sn 0.2500 0.3590 0.3590
Sn 0.7500 0.6410 0.6410
Sn 0.5000 0.1904 0.8096
Sn 0.0000 0.1904 0.8096
Sn 0.5000 0.8096 0.1904
Sn 0.0000 0.8096 0.1904

Results
- energy relative to the elements (meV/atom) = -251.8
- crystal system = orthorhombic


Which E_tot belongs to each record? In order, -3.31, -3.00, -4.13, -7.24, -2.22, -2.43, -4.76, -5.43, -6.88, -5.39, -1.22, -5.03 eV/atom.
Which total magnetization belongs to each record? In order, 0.00, 0.00, 0.00, 0.00, 0.00, 0.00, 0.00, 0.00, 0.00, 1.07, 0.00, 0.00 μB/f.u..